VASP calculation (PBE with a Hubbard U) on crystalline Li3Co2O5 at its relaxed geometry.

Properties
space-group type: P-1
energy above the most stable polymorph in this dataset: 0 meV/atom

Unit cell a=4.918 b=5.008 c=7.506 alpha=71.23 beta=71.08 gamma=80.18
Element x y z (fractional)
Li 0.000 0.000 0.000
Li 0.098 0.510 0.297
Li 0.288 0.495 0.900
Li 0.500 0.500 0.500
Li 0.712 0.505 0.100
Li 0.902 0.490 0.703
Co 0.199 0.999 0.601
Co 0.397 0.000 0.197
Co 0.603 0.000 0.803
Co 0.801 0.001 0.399
O 0.060 0.226 0.169
O 0.148 0.783 0.441
O 0.272 0.223 0.743
O 0.373 0.777 0.048
O 0.451 0.214 0.354
O 0.549 0.786 0.646
O 0.627 0.223 0.952
O 0.728 0.777 0.257
O 0.852 0.217 0.559
O 0.940 0.774 0.831

=====

VASP calculation (PBE with a Hubbard U) on crystalline Li11Co2O8 at its relaxed geometry.

Properties
space-group type: C222_1
DFT total energy: -5.0003 eV/atom

Unit cell a=6.575 b=6.575 c=9.312 alpha=90.00 beta=90.00 gamma=91.25
Element x y z (fractional)
Li 0.003 0.497 0.468
Li 0.021 0.522 0.224
Li 0.213 0.217 0.749
Li 0.217 0.213 0.251
Li 0.231 0.769 0.750
Li 0.281 0.717 0.019
Li 0.283 0.719 0.481
Li 0.286 0.286 0.500
Li 0.290 0.290 0.000
Li 0.478 0.979 0.276
Li 0.497 0.003 0.532
Li 0.503 0.997 0.032
Li 0.522 0.021 0.776
Li 0.710 0.710 0.500
Li 0.714 0.714 0.000
Li 0.717 0.281 0.981
Li 0.719 0.283 0.519
Li 0.769 0.231 0.250
Li 0.783 0.787 0.751
Li 0.787 0.783 0.249
Li 0.979 0.478 0.724
Li 0.997 0.503 0.968
Co 0.000 0.000 0.000
Co 0.000 0.000 0.500
Co 0.494 0.506 0.250
Co 0.506 0.494 0.750
O 0.002 0.257 0.099
O 0.008 0.255 0.592
O 0.232 0.497 0.853
O 0.240 0.482 0.356
O 0.255 0.008 0.408
O 0.257 0.002 0.901
O 0.482 0.240 0.644
O 0.497 0.232 0.147
O 0.503 0.768 0.647
O 0.518 0.760 0.144
O 0.743 0.998 0.401
O 0.745 0.992 0.908
O 0.760 0.518 0.856
O 0.768 0.503 0.353
O 0.992 0.745 0.092
O 0.998 0.743 0.599

=====

VASP calculation (PBE with a Hubbard U) on crystalline Li4Co3O7 at its relaxed geometry.

Properties
space-group type: P-1
energy above the most stable polymorph in this dataset: 31 meV/atom

Unit cell a=4.937 b=5.040 c=9.947 alpha=100.05 beta=99.11 gamma=100.12
Element x y z (fractional)
Li 0.000 0.000 0.000
Li 0.000 0.000 0.500
Li 0.141 0.283 0.289
Li 0.273 0.577 0.572
Li 0.424 0.861 0.854
Li 0.576 0.139 0.146
Li 0.727 0.423 0.428
Li 0.859 0.717 0.711
Co 0.141 0.282 0.782
Co 0.287 0.574 0.073
Co 0.426 0.861 0.361
Co 0.574 0.139 0.639
Co 0.713 0.426 0.927
Co 0.859 0.718 0.218
O 0.062 0.613 0.894
O 0.085 0.657 0.380
O 0.210 0.914 0.189
O 0.233 0.961 0.681
O 0.363 0.235 0.957
O 0.382 0.187 0.466
O 0.492 0.466 0.746
O 0.508 0.534 0.254
O 0.618 0.813 0.534
O 0.637 0.765 0.043
O 0.767 0.039 0.319
O 0.790 0.086 0.811
O 0.915 0.343 0.620
O 0.938 0.387 0.106

=====

VASP calculation (PBE with a Hubbard U) on crystalline Li5Co3O8 at its relaxed geometry.

Properties
space-group type: P-1
energy above the most stable polymorph in this dataset: 44 meV/atom

Unit cell a=2.917 b=5.863 c=8.044 alpha=90.96 beta=90.22 gamma=91.89
Element x y z (fractional)
Li 0.000 0.000 0.000
Li 0.000 0.000 0.500
Li 0.000 0.500 0.000
Li 0.498 0.244 0.757
Li 0.502 0.756 0.243
Co 0.000 0.500 0.500
Co 0.499 0.246 0.240
Co 0.501 0.754 0.760
O 0.034 0.019 0.255
O 0.036 0.509 0.739
O 0.485 0.280 0.483
O 0.499 0.747 0.977
O 0.501 0.253 0.023
O 0.515 0.720 0.517
O 0.964 0.491 0.261
O 0.966 0.981 0.745

=====

VASP calculation (PBE with a Hubbard U) on crystalline Li8Co5O10 at its relaxed geometry.

Properties
space-group type: C2/m
energy above the most stable polymorph in this dataset: 22 meV/atom

Unit cell a=5.386 b=5.386 c=14.330 alpha=105.34 beta=105.34 gamma=39.03
Element x y z (fractional)
Li 0.212 0.212 0.047
Li 0.216 0.216 0.830
Li 0.218 0.218 0.441
Li 0.225 0.225 0.656
Li 0.775 0.775 0.344
Li 0.782 0.782 0.559
Li 0.784 0.784 0.170
Li 0.788 0.788 0.953
Co 0.498 0.498 0.300
Co 0.500 0.500 0.099
Co 0.500 0.500 0.500
Co 0.500 0.500 0.901
Co 0.502 0.502 0.700
O 0.357 0.357 0.574
O 0.363 0.363 0.372
O 0.365 0.365 0.162
O 0.366 0.366 0.973
O 0.375 0.375 0.784
O 0.625 0.625 0.216
O 0.634 0.634 0.027
O 0.635 0.635 0.838
O 0.637 0.637 0.628
O 0.643 0.643 0.426

=====

VASP calculation (PBE with a Hubbard U) on crystalline LiCoO2 at its relaxed geometry.

Properties
space-group type: R3m
DFT total energy: -5.6329 eV/atom

Unit cell a=5.185 b=5.185 c=5.185 alpha=31.59 beta=31.59 gamma=31.59
Element x y z (fractional)
Li 0.000 0.000 0.000
Co 0.829 0.829 0.829
O 0.232 0.232 0.232
O 0.425 0.425 0.425

=====

VASP calculation (PBE with a Hubbard U) on crystalline Li9Co7O16 at its relaxed geometry.

Properties
space-group type: P1
energy above the most stable polymorph in this dataset: 22 meV/atom

Unit cell a=4.960 b=7.599 c=7.609 alpha=97.01 beta=102.62 gamma=102.84
Element x y z (fractional)
Li 0.000 0.000 0.000
Li 0.000 0.265 0.757
Li 0.490 0.876 0.123
Li 0.496 0.635 0.383
Li 0.500 0.131 0.876
Li 0.515 0.391 0.638
Li 0.996 0.755 0.247
Li 0.998 0.636 0.879
Li 0.999 0.512 0.516
Co 0.000 0.133 0.382
Co 0.000 0.880 0.631
Co 0.498 0.508 0.004
Co 0.499 0.755 0.758
Co 0.502 0.007 0.506
Co 0.503 0.258 0.257
Co 0.999 0.387 0.125
O 0.229 0.370 0.360
O 0.240 0.114 0.610
O 0.244 0.608 0.126
O 0.247 0.275 0.013
O 0.258 0.773 0.522
O 0.260 0.878 0.858
O 0.277 0.020 0.268
O 0.282 0.523 0.766
O 0.721 0.748 0.992
O 0.736 0.247 0.503
O 0.739 0.490 0.238
O 0.740 0.988 0.739
O 0.741 0.654 0.636
O 0.751 0.386 0.906
O 0.760 0.897 0.398
O 0.772 0.150 0.146

=====

VASP calculation (PBE with a Hubbard U) on crystalline Li4CoO4 at its relaxed geometry.

Properties
space-group type: Pm
energy above the most stable polymorph in this dataset: 0 meV/atom

Unit cell a=4.853 b=6.381 c=6.481 alpha=90.00 beta=91.58 gamma=90.00
Element x y z (fractional)
Li 0.000 0.000 0.000
Li 0.008 0.237 0.404
Li 0.008 0.763 0.404
Li 0.471 0.000 0.110
Li 0.484 0.292 0.849
Li 0.484 0.708 0.849
Li 0.518 0.305 0.322
Li 0.518 0.695 0.322
Co 0.018 0.500 0.080
Co 0.525 0.000 0.591
O 0.231 0.257 0.099
O 0.231 0.743 0.099
O 0.331 0.235 0.572
O 0.331 0.765 0.572
O 0.659 0.000 0.854
O 0.733 0.000 0.353
O 0.771 0.500 0.882
O 0.821 0.500 0.318

=====

VASP calculation (PBE with a Hubbard U) on crystalline LiCo4O8 at its relaxed geometry.

Properties
space-group type: C2/m
energy above the most stable polymorph in this dataset: 9 meV/atom

Unit cell a=5.618 b=5.618 c=5.305 alpha=106.67 beta=106.67 gamma=60.47
Element x y z (fractional)
Li 0.000 0.000 0.000
Co 0.250 0.750 0.500
Co 0.252 0.252 0.510
Co 0.748 0.748 0.490
Co 0.750 0.250 0.500
O 0.112 0.626 0.694
O 0.115 0.115 0.699
O 0.374 0.888 0.306
O 0.382 0.382 0.315
O 0.618 0.618 0.685
O 0.626 0.112 0.694
O 0.885 0.885 0.301
O 0.888 0.374 0.306

=====

VASP calculation (PBE with a Hubbard U) on crystalline Li4Co3O7 at its relaxed geometry.

Properties
space-group type: C2/m
energy above the most stable polymorph in this dataset: 11 meV/atom

Unit cell a=5.021 b=5.021 c=17.079 alpha=95.38 beta=95.38 gamma=32.78
Element x y z (fractional)
Li 0.000 0.000 0.000
Li 0.000 0.000 0.500
Li 0.136 0.136 0.285
Li 0.294 0.294 0.567
Li 0.431 0.431 0.858
Li 0.569 0.569 0.142
Li 0.706 0.706 0.433
Li 0.864 0.864 0.715
Co 0.146 0.146 0.786
Co 0.284 0.284 0.071
Co 0.421 0.421 0.359
Co 0.579 0.579 0.641
Co 0.716 0.716 0.929
Co 0.854 0.854 0.214
O 0.047 0.047 0.386
O 0.089 0.089 0.892
O 0.203 0.203 0.681
O 0.227 0.227 0.177
O 0.342 0.342 0.966
O 0.354 0.354 0.453
O 0.480 0.480 0.251
O 0.520 0.520 0.749
O 0.646 0.646 0.547
O 0.658 0.658 0.034
O 0.773 0.773 0.823
O 0.797 0.797 0.319
O 0.911 0.911 0.108
O 0.953 0.953 0.614

=====

VASP calculation (PBE with a Hubbard U) on crystalline Li2CoO3 at its relaxed geometry.

Properties
space-group type: C2/m
DFT total energy: -5.3636 eV/atom

Unit cell a=5.130 b=5.130 c=7.934 alpha=113.51 beta=113.51 gamma=33.54
Element x y z (fractional)
Li 0.000 0.000 0.000
Li 0.000 0.000 0.500
Li 0.339 0.339 0.666
Li 0.661 0.661 0.334
Co 0.339 0.339 0.178
Co 0.661 0.661 0.822
O 0.014 0.014 0.758
O 0.323 0.323 0.932
O 0.325 0.325 0.389
O 0.675 0.675 0.611
O 0.677 0.677 0.068
O 0.986 0.986 0.242

=====

VASP calculation (PBE with a Hubbard U) on crystalline Li4Co3O7 at its relaxed geometry.

Properties
space-group type: P-1
energy above the most stable polymorph in this dataset: 4 meV/atom

Unit cell a=5.009 b=7.511 c=7.518 alpha=119.92 beta=102.41 gamma=96.38
Element x y z (fractional)
Li 0.000 0.000 0.000
Li 0.001 0.424 0.285
Li 0.007 0.133 0.422
Li 0.015 0.725 0.151
Li 0.500 0.000 0.500
Li 0.985 0.275 0.849
Li 0.993 0.867 0.578
Li 0.999 0.576 0.715
Co 0.498 0.423 0.781
Co 0.500 0.142 0.927
Co 0.500 0.285 0.358
Co 0.500 0.715 0.642
Co 0.500 0.858 0.073
Co 0.502 0.577 0.219
O 0.273 0.007 0.244
O 0.274 0.164 0.700
O 0.280 0.431 0.544
O 0.280 0.699 0.389
O 0.283 0.862 0.827
O 0.284 0.577 0.972
O 0.288 0.298 0.118
O 0.712 0.702 0.882
O 0.716 0.423 0.028
O 0.717 0.138 0.173
O 0.720 0.301 0.611
O 0.720 0.569 0.456
O 0.726 0.836 0.300
O 0.727 0.993 0.756